1.
Ge3Ru2S3, relaxed, DFT GGA-PBE; space group = R-3; E_tot = -5.88 eV per atom; total magnetization = 0.0000 μB/atom; uncorrected formation energy = -0.284 eV/atom
1.0
5.929 3.423 4.827
-5.929 3.423 4.827
0.000 -6.846 4.827
Ge Ru S
12 8 12
Direct
0.000 0.338 0.853
0.000 0.662 0.147
0.147 0.000 0.662
0.164 0.352 0.504
0.338 0.853 0.000
0.352 0.504 0.164
0.496 0.836 0.648
0.504 0.164 0.352
0.648 0.496 0.836
0.662 0.147 0.000
0.836 0.648 0.496
0.853 0.000 0.338
0.239 0.734 0.747
0.242 0.242 0.242
0.253 0.761 0.266
0.266 0.253 0.761
0.734 0.747 0.239
0.747 0.239 0.734
0.758 0.758 0.758
0.761 0.266 0.253
0.006 0.355 0.143
0.143 0.006 0.355
0.144 0.643 0.497
0.355 0.143 0.006
0.357 0.503 0.856
0.497 0.144 0.643
0.503 0.856 0.357
0.643 0.497 0.144
0.645 0.857 0.994
0.856 0.357 0.503
0.857 0.994 0.645
0.994 0.645 0.857

=====

2.
ScGeRu2S, relaxed, DFT GGA-PBE; space group = P4/mmm; energy relative to the lowest polymorph listed for this composition = 0.000 eV/atom; E_tot = -6.57 eV per atom; total magnetization = 0.0000 μB/atom; uncorrected formation energy = 0.158 eV/atom
1.0
4.302 0.000 0.000
0.000 4.302 0.000
0.000 0.000 4.938
Sc Ge Ru S
1 1 2 1
Direct
0.000 0.000 0.000
0.500 0.500 0.000
0.000 0.500 0.500
0.500 0.000 0.500
0.500 0.500 0.500

=====

3.
ScGeRu2S, relaxed, DFT GGA-PBE; space group = P4/mmm; energy relative to the lowest polymorph listed for this composition = 0.928 eV/atom; E_tot = -5.64 eV per atom; total magnetization = 0.5890 μB/atom; uncorrected formation energy = 1.086 eV/atom
1.0
4.796 0.000 0.000
0.000 4.796 0.000
0.000 0.000 4.687
Sc Ge Ru S
1 1 2 1
Direct
0.000 0.000 0.000
0.500 0.500 0.500
0.000 0.500 0.000
0.500 0.000 0.000
0.000 0.000 0.500

=====

4.
TaGe2RuS, relaxed, DFT GGA-PBE; space group = P4/mmm; E_tot = -5.95 eV per atom; total magnetization = 0.0001 μB/atom; uncorrected formation energy = 0.951 eV/atom
1.0
4.816 0.000 0.000
0.000 4.816 0.000
0.000 0.000 4.253
Ta Ge Ru S
1 2 1 1
Direct
0.000 0.000 0.000
0.000 0.500 0.500
0.500 0.000 0.500
0.500 0.500 0.000
0.500 0.500 0.500

=====

5.
Th6GeRu2S3, relaxed, DFT GGA-PBE; space group = C2/m; E_tot = -7.83 eV per atom; total magnetization = 0.0000 μB/atom; uncorrected formation energy = -1.155 eV/atom
1.0
3.584 -6.205 0.000
3.584 6.205 0.000
-2.391 0.000 6.872
Th Ge Ru S
6 1 2 3
Direct
0.071 0.420 0.761
0.230 0.230 0.236
0.420 0.071 0.761
0.580 0.929 0.239
0.770 0.770 0.764
0.929 0.580 0.239
0.500 0.500 0.000
0.168 0.832 0.000
0.832 0.168 0.000
0.000 0.000 0.500
0.343 0.657 0.500
0.657 0.343 0.500

=====

6.
Th4GeRuS2, relaxed, DFT GGA-PBE; space group = P2/m; E_tot = -7.66 eV per atom; total magnetization = 0.0000 μB/atom; uncorrected formation energy = -1.183 eV/atom
1.0
7.168 0.000 0.000
0.000 4.110 0.000
-2.408 0.000 6.933
Th Ge Ru S
4 1 1 2
Direct
0.237 0.000 0.235
0.249 0.500 0.759
0.751 0.500 0.241
0.763 0.000 0.765
0.000 0.000 0.500
0.000 0.500 0.000
0.500 0.000 0.000
0.500 0.500 0.500

=====

7.
YGeRu2S, relaxed, DFT GGA-PBE; space group = P4/mmm; E_tot = -5.36 eV per atom; total magnetization = 0.6006 μB/atom; uncorrected formation energy = 1.393 eV/atom
1.0
5.024 0.000 0.000
0.000 5.024 0.000
0.000 0.000 5.039
Y Ge Ru S
1 1 2 1
Direct
0.000 0.000 0.000
0.500 0.500 0.500
0.000 0.500 0.000
0.500 0.000 0.000
0.000 0.000 0.500

=====

8.
ZnGe2RuS, relaxed, DFT GGA-PBE; space group = P4/mmm; E_tot = -3.79 eV per atom; total magnetization = 0.3402 μB/atom; uncorrected formation energy = 0.990 eV/atom
1.0
4.856 0.000 0.000
0.000 4.856 0.000
0.000 0.000 4.359
Zn Ge Ru S
1 2 1 1
Direct
0.000 0.000 0.000
0.000 0.500 0.500
0.500 0.000 0.500
0.500 0.500 0.000
0.000 0.000 0.500

=====

9.
GeSbRu3, relaxed, DFT GGA-PBE; space group = Pm-3m; energy relative to the lowest polymorph listed for this composition = 0.000 eV/atom; E_tot = -6.42 eV per atom; total magnetization = 0.0000 μB/atom; uncorrected formation energy = 0.895 eV/atom
1.0
4.547 0.000 0.000
0.000 4.547 0.000
0.000 0.000 4.547
Ge Sb Ru
1 1 3
Direct
0.000 0.000 0.000
0.500 0.500 0.500
0.000 0.000 0.500
0.000 0.500 0.000
0.500 0.000 0.000

=====

10.
Ge3SbRu, relaxed, DFT GGA-PBE; space group = Pm-3m; energy relative to the lowest polymorph listed for this composition = 0.000 eV/atom; E_tot = -5.22 eV per atom; total magnetization = 0.0000 μB/atom; uncorrected formation energy = 0.229 eV/atom
1.0
4.811 0.000 0.000
0.000 4.811 0.000
0.000 0.000 4.811
Ge Sb Ru
3 1 1
Direct
0.000 0.000 0.500
0.000 0.500 0.000
0.500 0.000 0.000
0.500 0.500 0.500
0.000 0.000 0.000

=====

11.
GeSbRu, relaxed, DFT GGA-PBE; space group = Cm; energy relative to the lowest polymorph listed for this composition = 0.063 eV/atom; E_tot = -6.11 eV per atom; total magnetization = 0.0000 μB/atom; uncorrected formation energy = -0.101 eV/atom
1.0
6.403 -1.594 0.000
6.403 1.594 0.000
-0.897 0.000 5.641
Ge Sb Ru
2 2 2
Direct
0.000 0.000 0.000
0.579 0.579 0.506
0.229 0.229 0.818
0.851 0.851 0.317
0.176 0.176 0.270
0.415 0.415 0.682

=====

12.
GeSbRu, relaxed, DFT GGA-PBE; space group = C2/c; energy relative to the lowest polymorph listed for this composition = 0.136 eV/atom; E_tot = -6.03 eV per atom; total magnetization = 0.0000 μB/atom; uncorrected formation energy = -0.028 eV/atom
1.0
3.098 -3.098 0.000
3.098 3.098 0.000
-0.012 0.000 6.230
Ge Sb Ru
2 2 2
Direct
0.000 0.000 0.250
0.000 0.000 0.750
0.499 0.501 0.750
0.501 0.499 0.250
0.000 0.500 0.000
0.500 0.000 0.500